Entry 1:
Computed, not measured: an optimized crystal structure of SmGd2O at the PBE-GGA level of DFT.

Structure (POSCAR):
```
SmGd2O
1.0
-3.5361 -0.4638 0.2284
-1.3270 -3.1742 0.9667
-1.3987 1.2912 8.9247
Gd O Sm
2 1 1
direct
0.2813 0.2813 0.1562
0.7187 0.7187 0.8438
0.0000 0.0000 0.0000
0.5000 0.5000 0.5000
```

Calculated values
The formation energy without anion corrections is -1.31 eV per atom.

***

Entry 2:
Computed, not measured: an optimized crystal structure of Li3CrOs at the PBE-GGA level of DFT.

Structure (POSCAR):
```
Li3CrOs
1.0
4.2276 0.0000 0.0000
0.0000 4.2276 0.0000
0.0000 0.0000 4.2276
Cr Li Os
1 3 1
direct
0.0000 0.0000 0.0000
0.0000 0.0000 0.5000
0.5000 0.0000 0.0000
0.0000 0.5000 0.0000
0.5000 0.5000 0.5000
```

Calculated values
The energy above the most stable polymorph in this dataset comes out at 0.0 meV/atom. As for the formation energy: 1.556 eV per atom.

***

Entry 3:
Computed, not measured: an optimized crystal structure of U2Pd2S7 at the PBE-GGA level of DFT.

Structure (POSCAR):
```
U2Pd2S7
1.0
3.7593 0.0000 0.0000
1.8796 7.8597 -0.2879
1.8796 3.4731 7.0565
Pd S U
2 7 2
direct
0.2499 0.4059 0.0944
0.7501 0.9056 0.5941
0.3901 0.7006 0.5192
0.1301 0.1180 0.6217
0.6099 0.4808 0.2994
0.8699 0.3783 0.8820
0.8217 0.0806 0.2760
0.5000 0.9838 0.0162
0.1783 0.7240 0.9194
0.0000 0.7660 0.2340
0.5000 0.3102 0.6898
```

Calculated values
The energy above the most stable polymorph in this dataset comes out at 182.4 meV/atom. The formation energy without anion corrections is -0.62 eV per atom.

***

Entry 4:
Computed, not measured: an optimized crystal structure of Sc6Tl3Co at the PBE-GGA level of DFT.

Structure (POSCAR):
```
Sc6Tl3Co
1.0
-1.7018 -4.5378 -0.9679
0.0009 1.8201 -8.5349
9.5459 -4.0352 2.1342
Sc Tl Co
12 6 2
direct
0.7500 0.7922 0.5058
0.7500 0.9119 0.1467
0.2500 0.6994 0.6701
0.7500 0.3006 0.3299
0.2500 0.4490 0.0825
0.7500 0.1426 0.6666
0.7500 0.5510 0.9175
0.2500 0.0881 0.8533
0.2500 0.1311 0.1695
0.7500 0.8689 0.8305
0.2500 0.8574 0.3334
0.2500 0.2078 0.4942
0.7500 0.2152 0.0183
0.2500 0.7848 0.9817
0.7500 0.6116 0.2177
0.2500 0.5120 0.3833
0.2500 0.3884 0.7823
0.7500 0.4880 0.6167
0.2500 0.9614 0.5980
0.7500 0.0386 0.4020
```

Calculated values
The energy above the most stable polymorph in this dataset comes out at 0.0 meV/atom. As for the formation energy: -0.231 eV per atom.

***

Entry 5:
Computed, not measured: an optimized crystal structure of Cr2TeRu at the PBE-GGA level of DFT.

Structure (POSCAR):
```
Cr2TeRu
1.0
-3.9331 0.7515 -2.5841
-0.7323 -3.7919 -2.7923
0.7929 0.3499 4.6862
Cr Te Ru
2 1 1
direct
0.5000 0.5000 0.0000
0.0000 0.0000 0.0000
0.2500 0.7500 0.5000
0.7500 0.2500 0.5000
```

Calculated values
The formation energy without anion corrections is 0.38 eV per atom.

***

Entry 6:
Computed, not measured: an optimized crystal structure of SrZrAs2 at the PBE-GGA level of DFT.

Structure (POSCAR):
```
SrZrAs2
1.0
7.1782 0.4479 0.0014
5.8875 4.1310 0.0014
-0.0008 -0.0003 4.0448
Sr As Zr
1 2 1
direct
0.4753 0.4753 0.6250
0.7598 0.7598 0.6250
0.0433 0.0433 0.1250
0.2217 0.2217 0.1250
```

Calculated values
The energy above the most stable polymorph in this dataset comes out at 304.3 meV/atom. As for the formation energy: -0.845 eV per atom.

***

Entry 7:
Computed, not measured: an optimized crystal structure of Zn3CoCu3 at the PBE-GGA level of DFT.

Structure (POSCAR):
```
Zn3CoCu3
1.0
-4.3582 3.9410 -0.8781
-1.1881 0.0432 5.8209
3.4838 4.0045 0.6814
Cu Zn Co
6 6 2
direct
0.0000 0.5000 0.7564
0.5000 0.0000 0.2436
0.0000 0.0000 0.2346
0.0000 0.5000 0.2436
0.0000 0.0000 0.7654
0.5000 0.0000 0.7564
0.6805 0.3195 0.0000
0.3195 0.6805 0.0000
0.7373 0.7373 0.5001
0.2681 0.7319 0.5000
0.2627 0.2627 0.4999
0.7319 0.2681 0.5000
0.7414 0.7414 0.0000
0.2586 0.2586 0.0000
```

Calculated values
As for the formation energy: 0.083 eV per atom.

***

Entry 8:
Computed, not measured: an optimized crystal structure of Mn3HPb at the PBE-GGA level of DFT.

Structure (POSCAR):
```
Mn3HPb
1.0
-2.5331 0.1881 2.9817
-2.5468 -2.1796 -2.0262
1.5619 -3.2490 1.5319
Mn H Pb
3 1 1
direct
0.0000 0.0000 0.5000
0.0000 0.5000 0.0000
0.5000 0.0000 0.0000
0.0000 0.0000 0.0000
0.5000 0.5000 0.5000
```

Calculated values
The energy above the most stable polymorph in this dataset comes out at 0.0 meV/atom.

***

Entry 9:
Computed, not measured: an optimized crystal structure of Nd2Sm2DyY at the PBE-GGA level of DFT.

Structure (POSCAR):
```
Nd2Sm2DyY
1.0
5.7119 0.0000 0.0000
0.0000 7.0972 0.0000
0.0000 0.0000 9.9038
Sm Y Dy Nd
4 2 2 4
direct
0.5000 0.2575 0.3305
0.0000 0.7577 0.1622
0.5000 0.7575 0.6695
0.0000 0.2577 0.8378
0.0000 0.5075 0.5000
0.0000 0.0075 0.5000
0.5000 0.2575 0.6597
0.5000 0.7575 0.3403
0.5000 0.0077 0.0001
0.5000 0.5077 0.9999
0.0000 0.2577 0.1759
0.0000 0.7577 0.8241
```

Calculated values
As for the formation energy: 0.055 eV per atom.

***

Entry 10:
Computed, not measured: an optimized crystal structure of YBiPdAu at the PBE-GGA level of DFT.

Structure (POSCAR):
```
YBiPdAu
1.0
5.0114 0.0000 0.0000
2.5057 4.3400 0.0000
2.5057 1.4467 4.0918
Au Pd Bi Y
1 1 1 1
direct
0.0000 0.0000 0.0000
0.5000 0.5000 0.5000
0.2500 0.2500 0.2500
0.7500 0.7500 0.7500
```

Calculated values
As for the formation energy: -0.628 eV per atom.

***

Entry 11:
Computed, not measured: an optimized crystal structure of Ca3ErHf2As6 at the PBE-GGA level of DFT.

Structure (POSCAR):
```
Ca3ErHf2As6
1.0
-1.6073 -0.6004 6.7282
5.3715 -3.5341 -2.6211
2.8975 6.6241 0.0842
Ca Hf As Er
3 2 6 1
direct
0.5000 0.5000 0.5000
0.1632 0.8368 0.5000
0.8368 0.1632 0.5000
0.3325 0.6675 0.0000
0.6675 0.3325 0.0000
0.0762 0.4214 0.2273
0.2702 0.2702 0.7743
0.5786 0.9238 0.7727
0.9238 0.5786 0.7727
0.7298 0.7298 0.2257
0.4214 0.0762 0.2273
0.0000 0.0000 0.0000
```

Calculated values
As for the formation energy: -1.180 eV per atom.

***

Entry 12:
Computed, not measured: an optimized crystal structure of Ac2Cl2O at the PBE-GGA level of DFT.

Structure (POSCAR):
```
Ac2Cl2O
1.0
-0.0880 4.0071 -2.4685
0.6933 -2.4310 -3.9709
-13.7193 -1.2903 -1.6053
Cl Ac O
2 2 1
direct
0.5000 0.5000 0.3522
0.5000 0.5000 0.6478
0.5000 0.5000 0.8399
0.5000 0.5000 0.1601
0.5000 0.5000 0.0000
```

Calculated values
The formation energy without anion corrections is -1.49 eV per atom.

***

Going through the records in order, we get total DFT energy (no corrections) values of -43.1; -18.8; -68.7; -109.0; -30.2; -22.9; -45.3; -33.3; -59.4; -21.3; -72.5; -24.3 eV per cell.
Going through the records in order, we get calculated density values of 8.122; 5.781; 7.145; 7.132; 9.229; 4.995; 7.839; 10.307; 6.954; 11.219; 6.359; 2.922 Mg/m³.
Going through the records in order, we get magnetization values of 3.514; 1.000; 0.183; 0.152; 0.982; 0.000; 0.179; 1.291; 0.000; 0.000; 0.000; 0.000 μB/atom.